Material: CeDy2Tm
Method: DFT, GGA-PBE
State: optimized geometry

Calculated values
The space group is R3m, No. 160. The offset from the most stable computed form comes out at 0 meV/atom. Its magnetization is 0.73 μB per formula unit. The value obtained for the density of states at the Fermi level is 7.3 states/eV per cell. For the formation energy from the elements, the calculation gives 1.3 kcal/mol of atoms.

a b c (Å): 3.5143 3.5143 11.6387
angles (deg): 81.32 81.32 60.00
Last column: magnetic moment on the atom in μB.
Sites, in units of the cell vectors:
Ce 0.5006 0.5006 0.4981  0.65
Dy 0.0826 0.0826 0.7521  0.01
Dy 0.2505 0.2505 0.2486  0.00
Tm 0.6663 0.6663 0.0012  -0.07

=====

Material: ScMo2Cl
Method: DFT, GGA-PBE
State: optimized geometry

Calculated values
The space group is P4/mmm, No. 123. The offset from the most stable computed form comes out at 1012 meV/atom. Its magnetization is 0.00 μB per formula unit. The value obtained for the density of states at the Fermi level is 4.6 states/eV per cell. Its uncorrected formation energy is 0.784 eV/atom.

a b c (Å): 4.6283 4.6283 3.1072
angles (deg): 90.00 90.00 90.00
Sites, in units of the cell vectors:
Cl 0.0000 0.5000 0.5000
Mo 0.0000 0.0000 0.0000
Mo 0.5000 0.5000 0.0000
Sc 0.5000 0.0000 0.5000

=====

Material: AcB4Pt3O12
Method: DFT, GGA-PBE
State: optimized geometry

Calculated values
The space group is R32, No. 155. Its magnetization is 2.30 μB per formula unit. The value obtained for the density of states at the Fermi level is 5.6 states/eV per cell. Its uncorrected formation energy is -1.618 eV/atom.

a b c (Å): 6.3464 6.3464 6.3464
angles (deg): 102.25 102.25 102.25
Last column: magnetic moment on the atom in μB.
Sites, in units of the cell vectors:
Ac 0.0000 0.0000 0.0000  0.01
B 0.9473 0.0527 0.5000  0.01
B 0.0527 0.5000 0.9473  0.01
B 0.5000 0.9473 0.0527  0.01
B 0.5000 0.5000 0.5000  0.02
Pt 0.5482 0.4518 0.0000  0.53
Pt 0.4518 0.0000 0.5482  0.53
Pt 0.0000 0.5482 0.4518  0.53
O 0.5000 0.3589 0.6411  0.06
O 0.9080 0.5000 0.0920  0.04
O 0.0920 0.9080 0.5000  0.04
O 0.5000 0.0920 0.9080  0.04
O 0.3758 0.9749 0.2024  0.04
O 0.2024 0.3758 0.9749  0.04
O 0.9749 0.2024 0.3758  0.04
O 0.6242 0.7976 0.0251  0.04
O 0.0251 0.6242 0.7976  0.04
O 0.7976 0.0251 0.6242  0.04
O 0.6411 0.5000 0.3589  0.06
O 0.3589 0.6411 0.5000  0.06

=====

Material: Tm11Tl9Pt4
Method: DFT, GGA-PBE
State: optimized geometry

Calculated values
The space group is Cmmm, No. 65. Its magnetization is 0.00 μB per formula unit. The value obtained for the density of states at the Fermi level is 14.0 states/eV per cell. For the formation energy from the elements, the calculation gives -15.3 kcal/mol of atoms.

a b c (Å): 3.6400 13.2500 13.2500
angles (deg): 112.65 90.00 90.00
Sites, in units of the cell vectors:
Tm 0.0000 0.5832 0.9203
Tm 0.0000 0.4168 0.0797
Tm 0.0000 0.9203 0.5832
Tm 0.0000 0.0797 0.4168
Tm 0.0000 0.6281 0.3719
Tm 0.0000 0.3719 0.6281
Tm 0.0000 0.8393 0.1607
Tm 0.0000 0.1607 0.8393
Tm 0.0000 0.0000 0.0000
Tm 0.0000 0.6915 0.6915
Tm 0.0000 0.3085 0.3085
Tl 0.5000 0.6329 0.1486
Tl 0.5000 0.3671 0.8514
Tl 0.5000 0.1486 0.6329
Tl 0.5000 0.8514 0.3671
Tl 0.5000 0.7866 0.9345
Tl 0.5000 0.2134 0.0655
Tl 0.5000 0.9345 0.7866
Tl 0.5000 0.0655 0.2134
Tl 0.5000 0.5000 0.5000
Pt 0.5000 0.5502 0.7508
Pt 0.5000 0.4498 0.2492
Pt 0.5000 0.7508 0.5502
Pt 0.5000 0.2492 0.4498

=====

Material: Cd2CuCl
Method: DFT, GGA-PBE
State: optimized geometry

Calculated values
The space group is Cmm2, No. 35. The offset from the most stable computed form comes out at 121 meV/atom. Its magnetization is 0.00 μB per formula unit. The value obtained for the density of states at the Fermi level is 0.7 states/eV per cell. Its uncorrected formation energy is -0.066 eV/atom.

a b c (Å): 3.2464 3.2464 8.6549
angles (deg): 90.00 90.00 112.48
Sites, in units of the cell vectors:
Cl 0.0000 0.0000 0.5584
Cu 0.5000 0.5000 0.7316
Cd 0.0000 0.0000 0.9571
Cd 0.5000 0.5000 0.2529

=====

Material: NdPaTe4
Method: DFT, GGA-PBE
State: optimized geometry

Calculated values
The space group is P2_1/c, No. 14. The offset from the most stable computed form comes out at 158 meV/atom. Its magnetization is 0.00 μB per formula unit. Its uncorrected formation energy is -0.880 eV/atom.

a b c (Å): 7.6284 7.6210 7.6214
angles (deg): 90.00 86.28 90.00
Sites, in units of the cell vectors:
Nd 0.5000 0.0000 0.5000
Nd 0.0000 0.5000 0.5000
Pa 0.0000 0.0000 0.0000
Pa 0.5000 0.5000 0.0000
Te 0.8245 0.6629 0.1494
Te 0.6755 0.1629 0.8506
Te 0.3661 0.3521 0.3414
Te 0.1339 0.8521 0.6586
Te 0.1755 0.3371 0.8506
Te 0.3245 0.8371 0.1494
Te 0.6339 0.6479 0.6586
Te 0.8661 0.1479 0.3414

=====

Material: Nd2TmPd
Method: DFT, GGA-PBE
State: optimized geometry

Calculated values
The space group is Cmm2, No. 35. The offset from the most stable computed form comes out at 0 meV/atom. Its magnetization is 0.00 μB per formula unit. The value obtained for the density of states at the Fermi level is 4.6 states/eV per cell. For the formation energy from the elements, the calculation gives -9.1 kcal/mol of atoms.

a b c (Å): 5.1009 3.6022 8.7190
angles (deg): 90.04 90.00 44.88
Sites, in units of the cell vectors:
Nd 0.8777 0.9989 0.5372
Nd 0.3780 0.9986 0.2286
Tm 0.3775 0.9997 0.8389
Pd 0.8775 0.9999 0.0062

=====

Material: NaErZn
Method: DFT, GGA-PBE
State: optimized geometry

Calculated values
The space group is Amm2, No. 38. Its magnetization is 0.00 μB per formula unit. The value obtained for the density of states at the Fermi level is 3.4 states/eV per cell. For the formation energy from the elements, the calculation gives 2.9 kcal/mol of atoms.

a b c (Å): 3.4767 3.4716 15.6205
angles (deg): 90.00 90.00 120.05
Sites, in units of the cell vectors:
Zn 0.6114 0.2228 0.0000
Zn 0.2779 0.5559 0.5000
Er 0.6119 0.2237 0.3570
Er 0.6119 0.2237 0.6430
Na 0.2768 0.5535 0.8428
Na 0.2768 0.5535 0.1572

=====

Material: MgSi2Cl
Method: DFT, GGA-PBE
State: optimized geometry

Calculated values
The space group is Cmmm, No. 65. The offset from the most stable computed form comes out at 860 meV/atom. Its magnetization is 0.00 μB per formula unit. The value obtained for the density of states at the Fermi level is 1.5 states/eV per cell. Its uncorrected formation energy is 0.379 eV/atom.

a b c (Å): 3.0458 3.0458 8.9745
angles (deg): 90.00 90.00 117.15
Sites, in units of the cell vectors:
Cl 0.5000 0.5000 0.2500
Mg 0.5000 0.5000 0.7500
Si 0.0000 0.0000 0.0088
Si 0.0000 0.0000 0.4912

=====

Material: RbLiCuI3
Method: DFT, GGA-PBE
State: optimized geometry

Calculated values
The space group is P2_1/m, No. 11. Its magnetization is 0.00 μB per formula unit. The value obtained for the density of states at the Fermi level is 0.0 states/eV per cell. Its uncorrected formation energy is -0.927 eV/atom.

a b c (Å): 4.3706 9.8673 10.3812
angles (deg): 106.36 90.00 90.00
Sites, in units of the cell vectors:
Rb 0.2500 0.1876 0.2226
Rb 0.7500 0.8124 0.7774
Li 0.2500 0.6403 0.1208
Li 0.7500 0.3597 0.8792
Cu 0.2500 0.0638 0.5741
Cu 0.7500 0.9362 0.4259
I 0.7500 0.8739 0.1563
I 0.2500 0.1261 0.8437
I 0.2500 0.7898 0.4700
I 0.7500 0.2102 0.5300
I 0.7500 0.4596 0.1647
I 0.2500 0.5404 0.8353

=====

Material: Li2NdMg
Method: DFT, GGA-PBE
State: optimized geometry

Calculated values
The space group is P4/mmm, No. 123. The offset from the most stable computed form comes out at 16 meV/atom. Its magnetization is 0.00 μB per formula unit. The value obtained for the density of states at the Fermi level is 3.1 states/eV per cell. For the formation energy from the elements, the calculation gives 1.1 kcal/mol of atoms.

a b c (Å): 3.5759 3.5759 7.4897
angles (deg): 90.00 90.00 90.00
Sites, in units of the cell vectors:
Mg 0.5000 0.5000 0.0000
Nd 0.5000 0.5000 0.5000
Li 0.0000 0.0000 0.7922
Li 0.0000 0.0000 0.2078

=====

Material: SeI2Cl
Method: DFT, GGA-PBE
State: optimized geometry

Calculated values
The space group is P1, No. 1. The offset from the most stable computed form comes out at 67 meV/atom. Its magnetization is 0.00 μB per formula unit. The value obtained for the density of states at the Fermi level is 1.4 states/eV per cell. Its uncorrected formation energy is -0.034 eV/atom.

a b c (Å): 4.6401 6.3506 6.4657
angles (deg): 74.89 79.96 74.07
Sites, in units of the cell vectors:
I 0.5529 0.7365 0.3032
I 0.0433 0.2684 0.7511
Se 0.7073 0.3089 0.4646
Cl 0.3834 0.2025 0.1169